DFT (PBE+U) results for a geometry-optimized HfB2MoO8 structure.

Values from the calculation:
**Total magnetic moment**: 0.00 Bohr magnetons per cell
**N(E_F)**: 0.482 states/eV/atom
**E_tot**: -92.69 eV for the cell shown
**Space group**: P-3m1

Unit cell a=4.9733 b=4.9733 c=6.1717 alpha=90.00 beta=90.00 gamma=120.00
Sites, in units of the cell vectors:
O  0.3432  0.1716  0.2326
O  0.1716  0.8284  0.7674
O  0.8284  0.6568  0.2326
O  0.6667  0.3333  0.5404
O  0.8284  0.1716  0.2326
O  0.1716  0.3432  0.7674
O  0.3333  0.6667  0.4596
O  0.6568  0.8284  0.7674
B  0.6667  0.3333  0.3038
B  0.3333  0.6667  0.6962
Mo  0.0000  0.0000  0.5000
Hf  0.0000  0.0000  0.0000